CaAlCd2 (PBE-GGA, optimized geometry); crystal system = monoclinic; ΔE_f = -0.14 eV/atom; DFT total energy = -8.12 eV/cell
1.0
3.346 0.000 0.000
0.000 4.691 0.000
-1.664 0.000 6.020
Ca Al Cd
1 1 2
Cartesian
0.000 0.000 0.000 Ca
0.010 2.346 4.681 Al
-0.011 0.000 3.180 Cd
1.679 2.346 1.859 Cd